# K3UBi2Te6

Crystalline K3UBi2Te6 at its relaxed geometry (GGA-PBE, the Alexandria database).

Cell lengths 7.9709, 7.9709, 8.6912 Å; angles 98.78, 98.78, 119.99 degrees
Last column: nearest neighbours and their distance in Å.
Positions (direct):
K 0.0000 0.0000 0.0000  6 Te 3.57-3.58
K 0.3311 0.6689 0.0000  6 Te 3.56-3.58
K 0.6689 0.3311 0.0000  6 Te 3.56-3.58
U 0.5000 0.5000 0.5000  6 Te 3.17
Bi 0.1663 0.8337 0.5000  6 Te 3.19
Bi 0.8337 0.1663 0.5000  6 Te 3.19
Te 0.0983 0.4298 0.2884  1 U 3.17, 2 Bi 3.19
Te 0.2396 0.2396 0.7127  1 U 3.17, 2 Bi 3.19
Te 0.4298 0.0983 0.2884  1 U 3.17, 2 Bi 3.19
Te 0.5702 0.9017 0.7116  1 U 3.17, 2 Bi 3.19
Te 0.7604 0.7604 0.2873  1 U 3.17, 2 Bi 3.19
Te 0.9017 0.5702 0.7116  1 U 3.17, 2 Bi 3.19

Magnetization ... 0.25 μB per atom
Total DFT energy (no corrections) ... -4.120 eV/atom
Symmetry ... C2/m
Formation energy (no corrections) ... -0.69 eV per atom

# CeHgPb

Crystalline CeHgPb at its relaxed geometry (GGA-PBE, the Alexandria database).

Cell lengths 8.1674, 4.7264, 5.7331 Å; angles 90.00, 118.38, 90.00 degrees
Last column: nearest neighbours and their distance in Å.
Positions (direct):
Ce 0.0000 0.0000 0.0000  4 Hg 3.20-3.38, 4 Pb 3.26
Ce 0.5000 0.5000 0.0000  4 Hg 3.20-3.38, 4 Pb 3.26
Hg 0.2767 0.5000 0.3308  3 Pb 3.15, 4 Ce 3.20-3.38
Hg 0.7767 0.0000 0.3308  3 Pb 3.15, 4 Ce 3.20-3.38
Pb 0.2155 0.0000 0.6456  3 Hg 3.15, 4 Ce 3.26
Pb 0.7155 0.5000 0.6456  3 Hg 3.15, 4 Ce 3.26

Magnetization ... 0.14 μB per atom
Total DFT energy (no corrections) ... -3.438 eV/atom
Symmetry ... Cm
ΔH_f (0 K) ... -0.1236 eV per atom
E above lowest polymorph ... 243 meV per atom

# BaHfTc3

Crystalline BaHfTc3 at its relaxed geometry (GGA-PBE, the Alexandria database).

Cell lengths 4.8762, 4.8762, 4.8762 Å; angles 90.00, 90.00, 90.00 degrees
Last column: nearest neighbours and their distance in Å.
Positions (direct):
Ba 0.0000 0.0000 0.0000  6 Tc 2.44
Hf 0.5000 0.5000 0.5000  12 Tc 3.45
Tc 0.0000 0.0000 0.5000  2 Ba 2.44
Tc 0.0000 0.5000 0.0000  2 Ba 2.44
Tc 0.5000 0.0000 0.0000  2 Ba 2.44

Magnetization ... 0.00 μB per atom
Total DFT energy (no corrections) ... -5.955 eV/atom
Symmetry ... Pm-3m
ΔH_f (0 K) ... 2.6398 eV per atom
E above lowest polymorph ... 1260 meV per atom

# Zr3Si

Crystalline Zr3Si at its relaxed geometry (GGA-PBE, the Alexandria database).

Cell lengths 6.5671, 9.8649, 4.9551 Å; angles 90.00, 90.00, 90.00 degrees
Last column: nearest neighbours and their distance in Å.
Positions (direct):
Zr 0.0000 0.1308 0.2500  8 Zr 2.95-3.09, 2 Si 3.17
Zr 0.0000 0.8692 0.7500  8 Zr 2.95-3.09, 2 Si 3.17
Zr 0.2217 0.3966 0.2500  4 Si 2.90-3.05, 7 Zr 2.91-3.21
Zr 0.2217 0.6034 0.7500  4 Si 2.90-3.05, 7 Zr 2.91-3.21
Zr 0.2783 0.1034 0.7500  4 Si 2.90-3.05, 7 Zr 2.91-3.21
Zr 0.2783 0.8966 0.2500  4 Si 2.90-3.05, 7 Zr 2.91-3.21
Zr 0.5000 0.3692 0.7500  8 Zr 2.95-3.09, 2 Si 3.17
Zr 0.5000 0.6308 0.2500  8 Zr 2.95-3.09, 2 Si 3.17
Zr 0.7217 0.1034 0.7500  4 Si 2.90-3.05, 7 Zr 2.91-3.21
Zr 0.7217 0.8966 0.2500  4 Si 2.90-3.05, 7 Zr 2.91-3.21
Zr 0.7783 0.3966 0.2500  4 Si 2.90-3.05, 7 Zr 2.91-3.21
Zr 0.7783 0.6034 0.7500  4 Si 2.90-3.05, 7 Zr 2.91-3.21
Si 0.0000 0.3313 0.7500  10 Zr 2.90-3.17
Si 0.0000 0.6687 0.2500  10 Zr 2.90-3.17
Si 0.5000 0.1687 0.2500  10 Zr 2.90-3.17
Si 0.5000 0.8313 0.7500  10 Zr 2.90-3.17

Magnetization ... 0.00 μB per atom
Total DFT energy (no corrections) ... -8.138 eV/atom
Symmetry ... Cmcm
Formation energy (no corrections) ... -0.37 eV per atom

# TiZn2Au

Crystalline TiZn2Au at its relaxed geometry (GGA-PBE, the Alexandria database).

Cell lengths 2.9048, 2.9048, 7.5657 Å; angles 90.00, 90.00, 90.00 degrees
Last column: nearest neighbours and their distance in Å.
Positions (direct):
Ti 0.0000 0.0000 0.0000  8 Zn 2.79, 4 Ti 2.90
Zn 0.5000 0.5000 0.2497  4 Ti 2.79, 4 Au 2.79, 4 Zn 2.90
Zn 0.5000 0.5000 0.7503  4 Ti 2.79, 4 Au 2.79, 4 Zn 2.90
Au 0.0000 0.0000 0.5000  8 Zn 2.79, 4 Au 2.90

Magnetization ... 0.00 μB per atom
Total DFT energy (no corrections) ... -3.630 eV/atom
Symmetry ... P4/mmm
ΔH_f (0 K) ... -0.2003 eV per atom

# PmCd2Ag2

Crystalline PmCd2Ag2 at its relaxed geometry (GGA-PBE, the Alexandria database).

Cell lengths 5.0255, 6.4755, 6.9801 Å; angles 90.00, 90.00, 90.00 degrees
Last column: nearest neighbours and their distance in Å.
Positions (direct):
Pm 0.0000 0.0000 0.0000  4 Ag 3.15, 8 Cd 3.28-3.52
Pm 0.5000 0.5000 0.5000  4 Ag 3.15, 8 Cd 3.28-3.52
Cd 0.0000 0.5000 0.1982  1 Cd 2.77, 2 Ag 2.83
Cd 0.0000 0.5000 0.8018  1 Cd 2.77, 2 Ag 2.83
Cd 0.5000 0.0000 0.3018  1 Cd 2.77, 2 Ag 2.83
Cd 0.5000 0.0000 0.6982  1 Cd 2.77, 2 Ag 2.83
Ag 0.0000 0.2073 0.5000  1 Ag 2.68, 2 Cd 2.83
Ag 0.0000 0.7927 0.5000  1 Ag 2.68, 2 Cd 2.83
Ag 0.5000 0.2927 0.0000  1 Ag 2.68, 2 Cd 2.83
Ag 0.5000 0.7073 0.0000  1 Ag 2.68, 2 Cd 2.83

Magnetization ... 0.00 μB per atom
Total DFT energy (no corrections) ... -2.673 eV/atom
Symmetry ... Immm
ΔH_f (0 K) ... -0.2168 eV per atom
E above lowest polymorph ... 0 meV per atom